LaMoNF2: optimized geometry, GGA+U. Values from VASP.

## Properties
energy	-6.093	eV/atom
relative energy among the computed polymorphs	75	meV per atom

Structure (Quantum ESPRESSO input):
```
&SYSTEM
  ibrav = 0, nat = 5, ntyp = 4
/
ATOMIC_SPECIES
La 138.91 La.upf
Mo 95.94 Mo.upf
N 14.01 N.upf
F 19.00 F.upf
ATOMIC_POSITIONS crystal
La 0.0000 0.0000 0.0000
Mo 0.5000 0.5000 0.5000
N 0.0000 0.0000 0.5000
F 0.0000 0.5000 0.0000
F 0.5000 0.0000 0.0000
CELL_PARAMETERS angstrom
4.5984 0.0000 0.0000
0.0000 4.5984 0.0000
0.0000 0.0000 4.8269
```